The following is a DFT calculation (GGA-PBEsol) of a relaxed structure of Li2InTc.

Results
E ... -4.3297 eV per atom
Total magnetic moment ... 0.00 μB per cell
DOS(E_F) ... 2.25 states/eV/f.u.
ΔE_f ... 0.2159 eV per atom
V ... 16.88 A^3/atom

Geometry as POSCAR:
```
Li2InTc
1.0
-0.342 1.069 2.521
-0.778 -2.474 0.944
8.433 -1.908 1.951
Li In Tc
2 1 1
direct
0.000 0.000 0.987
0.500 0.500 0.271
0.500 0.500 0.743
0.000 0.000 0.500
```